No. 1
Density functional theory data (GGA-PBE) for a geometry-optimized SmH7Rh2 structure.

Calculated values
For the mass density, the calculation gives 7.1 Mg/m³. The space-group type is Cmmm (65). The total energy comes out at -46.0 eV/cell.

Cell: 3.617 5.147 5.147 Å, 117.62 90.00 90.00°
Positions (direct):
H (0.000, 0.311, 0.689)
H (0.500, 0.500, 0.500)
Sm (0.000, 0.000, 0.000)
Rh (0.500, 0.690, 0.310)
H (0.500, 0.324, 0.045)
H (0.500, 0.955, 0.676)
H (0.500, 0.676, 0.955)
Rh (0.500, 0.310, 0.690)
H (0.000, 0.689, 0.311)
H (0.500, 0.045, 0.324)

=====

No. 2
Density functional theory data (GGA-PBE) for a geometry-optimized SmH3Rh structure.

Calculated values
For the mass density, the calculation gives 8.4 Mg/m³. The space-group type is Pm-3m (221). The total energy comes out at -25.1 eV/cell.

Cell: 3.705 3.705 3.705 Å, 90.00 90.00 90.00°
Positions (direct):
H (0.000, 0.000, 0.500)
Rh (0.000, 0.000, 0.000)
H (0.500, 0.000, 0.000)
H (0.000, 0.500, 0.000)
Sm (0.500, 0.500, 0.500)

=====

No. 3
Density functional theory data (GGA-PBE) for a geometry-optimized SmH12Rh7 structure.

Calculated values
For the mass density, the calculation gives 8.5 Mg/m³. The space-group type is R-3 (148). The total energy comes out at -97.9 eV/cell.

Cell: 9.610 5.562 5.562 Å, 89.86 54.83 125.17°
Positions (direct):
Rh (0.249, 0.177, 0.280)
H (0.061, 0.220, 0.332)
H (0.189, 0.772, 0.362)
Rh (0.500, 0.000, 0.000)
H (0.841, 0.448, 0.220)
H (0.449, 0.638, 0.134)
Rh (0.529, 0.280, 0.544)
H (0.417, 0.866, 0.772)
Rh (0.072, 0.544, 0.177)
Rh (0.751, 0.823, 0.720)
H (0.608, 0.668, 0.552)
Rh (0.928, 0.456, 0.823)
H (0.583, 0.134, 0.228)
Sm (0.000, 0.000, 0.000)
Rh (0.471, 0.720, 0.456)
H (0.159, 0.552, 0.780)
H (0.811, 0.228, 0.638)
H (0.392, 0.332, 0.448)
H (0.551, 0.362, 0.866)
H (0.939, 0.780, 0.668)

=====

No. 4
Density functional theory data (GGA-PBE) for a geometry-optimized Sr2SmH12Rh3 structure.

Calculated values
For the mass density, the calculation gives 5.6 Mg/m³. The space-group type is R-3m (166). The total energy comes out at -78.1 eV/cell.

Cell: 6.198 6.198 6.198 Å, 66.50 66.50 66.50°
Positions (direct):
H (0.868, 0.868, 0.416)
H (0.132, 0.584, 0.132)
H (0.283, 0.898, 0.283)
H (0.868, 0.416, 0.868)
Sr (0.384, 0.384, 0.384)
H (0.717, 0.102, 0.717)
H (0.898, 0.283, 0.283)
Rh (0.500, 0.000, 0.000)
Rh (0.000, 0.000, 0.500)
H (0.416, 0.868, 0.868)
Sr (0.616, 0.616, 0.616)
H (0.132, 0.132, 0.584)
H (0.283, 0.283, 0.898)
H (0.717, 0.717, 0.102)
H (0.102, 0.717, 0.717)
Sm (0.000, 0.000, 0.000)
H (0.584, 0.132, 0.132)
Rh (0.000, 0.500, 0.000)

=====

No. 5
Density functional theory data (GGA-PBE) for a geometry-optimized SmTlH8Rh2 structure.

Calculated values
For the mass density, the calculation gives 7.3 Mg/m³. The space-group type is R-3m (166). The total energy comes out at -48.4 eV/cell.

Cell: 4.140 4.140 9.060 Å, 76.79 76.79 60.00°
Positions (direct):
Rh (0.748, 0.748, 0.757)
Sm (0.000, 0.000, 0.000)
H (0.187, 0.187, 0.439)
H (0.473, 0.473, 0.139)
H (0.527, 0.085, 0.861)
H (0.473, 0.915, 0.139)
Tl (0.500, 0.500, 0.500)
H (0.915, 0.473, 0.139)
H (0.085, 0.527, 0.861)
H (0.527, 0.527, 0.861)
H (0.813, 0.813, 0.561)
Rh (0.252, 0.252, 0.243)

=====

No. 6
Density functional theory data (GGA-PBE) for a geometry-optimized SmZn2HRh2 structure.

Calculated values
For the mass density, the calculation gives 8.9 Mg/m³. The space-group type is P4/mmm (123). The total energy comes out at -28.2 eV/cell.

Cell: 4.150 4.150 5.265 Å, 90.00 90.00 90.00°
Positions (direct):
Sm (0.000, 0.000, 0.500)
H (0.000, 0.000, 0.000)
Zn (0.500, 0.500, 0.272)
Rh (0.500, 0.000, 0.000)
Rh (0.000, 0.500, 0.000)
Zn (0.500, 0.500, 0.728)

=====

No. 7
Density functional theory data (GGA-PBE) for a geometry-optimized Sm2ZnHRh6 structure.

Calculated values
For the mass density, the calculation gives 10.0 Mg/m³. The space-group type is C2/m (12). The total energy comes out at -61.7 eV/cell.

Cell: 6.139 6.139 6.139 Å, 59.96 59.96 90.00°
Positions (direct):
Rh (0.276, 0.276, 0.000)
Sm (0.750, 0.250, 0.500)
Rh (0.723, 0.277, 0.000)
H (0.500, 0.500, 0.000)
Rh (0.724, 0.724, 0.000)
Sm (0.250, 0.750, 0.500)
Rh (0.723, 0.723, 0.554)
Zn (0.000, 0.000, 0.000)
Rh (0.277, 0.277, 0.446)
Rh (0.277, 0.723, 0.000)

=====

No. 8
Density functional theory data (GGA-PBE) for a geometry-optimized SnHRh3 structure.

Calculated values
The value obtained for the distance to the lowest polymorph of the same formula is 100 meV per atom. For the mass density, the calculation gives 10.9 Mg/m³. The space-group type is Pm (6). The total energy comes out at -60.9 eV/cell.

Cell: 5.700 5.682 4.036 Å, 90.00 90.57 90.00°
Positions (direct):
Sn (0.260, 0.052, 0.297)
Rh (0.758, 0.052, 0.296)
Rh (0.512, 0.296, 0.809)
Rh (0.512, 0.807, 0.809)
Sn (0.743, 0.552, 0.322)
H (0.045, 0.552, 0.999)
H (0.323, 0.552, 0.757)
Rh (0.006, 0.814, 0.784)
Rh (0.005, 0.290, 0.784)
Rh (0.261, 0.551, 0.309)

=====

No. 9
Density functional theory data (GGA-PBE) for a geometry-optimized Sn2H2Rh structure.

Calculated values
For the mass density, the calculation gives 8.3 Mg/m³. The space-group type is I4/mmm (139). The total energy comes out at -21.2 eV/cell.

Cell: 3.258 3.258 6.828 Å, 76.20 76.20 90.00°
Positions (direct):
Rh (0.000, 0.000, 0.000)
H (0.250, 0.750, 0.500)
Sn (0.629, 0.629, 0.741)
H (0.750, 0.250, 0.500)
Sn (0.371, 0.371, 0.259)

=====

No. 10
Density functional theory data (GGA-PBE) for a geometry-optimized SnHRh3 structure.

Calculated values
The value obtained for the distance to the lowest polymorph of the same formula is 103 meV per atom. For the mass density, the calculation gives 11.0 Mg/m³. The space-group type is Cm (8). The total energy comes out at -60.9 eV/cell.

Cell: 5.682 4.888 5.682 Å, 74.60 120.23 105.38°
Positions (direct):
Rh (0.298, 0.455, 0.285)
H (0.165, 0.666, 0.418)
Rh (0.533, 0.968, 0.544)
Sn (0.528, 0.928, 0.055)
Rh (0.796, 0.440, 0.284)
H (0.913, 0.118, 0.669)
Sn (0.800, 0.486, 0.783)
Rh (0.039, 0.969, 0.049)
Rh (0.043, 0.944, 0.540)
Rh (0.299, 0.440, 0.787)

=====

No. 11
Density functional theory data (GGA-PBE) for a geometry-optimized Sn2HRh structure.

Calculated values
The value obtained for the distance to the lowest polymorph of the same formula is 119 meV per atom. For the mass density, the calculation gives 7.0 Mg/m³. The space-group type is I-42d (122). The total energy comes out at -35.3 eV/cell.

Cell: 5.009 5.009 7.356 Å, 70.10 70.10 90.00°
Positions (direct):
Rh (0.750, 0.250, 0.500)
Sn (0.875, 0.811, 0.750)
H (0.500, 0.500, 0.000)
Sn (0.189, 0.625, 0.250)
Rh (0.000, 0.000, 0.000)
Sn (0.561, 0.125, 0.250)
H (0.250, 0.750, 0.500)
Sn (0.375, 0.439, 0.750)

=====

No. 12
Density functional theory data (GGA-PBE) for a geometry-optimized SnHRh3 structure.

Calculated values
The value obtained for the distance to the lowest polymorph of the same formula is 2017 meV per atom. For the mass density, the calculation gives 6.0 Mg/m³. The space-group type is Pm-3m (221). The total energy comes out at -20.9 eV/cell.

Cell: 4.915 4.915 4.915 Å, 90.00 90.00 90.00°
Each line ends with the local moment (μB).
Positions (direct):
H (0.500, 0.500, 0.500)  0.09
Rh (0.000, 0.500, 0.000)  0.61
Rh (0.000, 0.000, 0.500)  0.80
Rh (0.500, 0.000, 0.000)  0.46
Sn (0.000, 0.000, 0.000)  -0.06